Entry 1:
Below is a geometry-optimized DyCdAsO structure, with properties calculated at the GGA-PBE level.

Computed properties:
Theoretical density: 7.09 g cm⁻³
Raw total energy: -5.243 eV per atom
M_tot: 0.0 μB/f.u.

Cell lengths 4.0355, 6.3110, 6.7295 Å; angles 90.00, 90.00, 90.00 degrees
Fractional positions:
O  0.5000  0.2248  0.8671
Dy  0.5000  0.0314  0.5969
Cd  0.0000  0.6062  0.4585
O  0.5000  0.7752  0.3671
As  0.0000  0.2155  0.3314
As  0.0000  0.7845  0.8314
Cd  0.0000  0.3938  0.9585
Dy  0.5000  0.9686  0.0969



Entry 2:
Below is a geometry-optimized AgBi2BrO3 structure, with properties calculated at the GGA-PBE level.

Computed properties:
Theoretical density: 7.91 g cm⁻³
Raw total energy: -4.804 eV per atom

Cell lengths 7.5822, 3.6808, 9.9491 Å; angles 90.00, 98.86, 90.00 degrees
Fractional positions:
O  0.6871  0.7500  0.8114
Br  0.7216  0.2500  0.4288
O  0.3129  0.2500  0.1886
Br  0.2784  0.7500  0.5712
Bi  0.5112  0.7500  0.1585
Ag  0.8639  0.7500  0.0166
Bi  0.1116  0.2500  0.3248
Bi  0.4888  0.2500  0.8415
O  0.3679  0.7500  0.9511
O  0.6321  0.2500  0.0489
Bi  0.8884  0.7500  0.6752
O  0.9961  0.2500  0.7775
O  0.0039  0.7500  0.2225
Ag  0.1361  0.2500  0.9834